Arrangement 1

Computed, not measured: crystalline Ca2TaAs2 at its relaxed geometry at the GGA-PBE level of DFT.

The structure belongs to space group I4/mmm (No. 139); the cell edges are 3.989, 3.989 and 13.243 Å and the angles 90.00°, 90.00° and 90.00°. The inequivalent atoms are Ca at (0.000, 0.500, 0.250), Ta at (0.000, 0.000, 0.000) and As at (0.000, 0.000, 0.404).

=====

Arrangement 2

Computed, not measured: crystalline Ca2TaAs2 at its relaxed geometry at the GGA-PBE level of DFT.

The structure belongs to space group I4/mmm (No. 139); the cell edges are 3.620, 3.620 and 19.425 Å and the angles 90.00°, 90.00° and 90.00°. The inequivalent atoms are Ca at (0.000, 0.000, 0.116), Ta at (0.000, 0.000, 0.500) and As at (0.000, 0.500, 0.250).

=====

Result of the stability comparison: arrangement 2 is the least stable of them.

=====

Arrangement 1

Computed, not measured: crystalline CaTa3As at its relaxed geometry at the GGA-PBE level of DFT.

The structure belongs to space group Pm-3m (No. 221); the cell edges are 4.773, 4.773 and 4.773 Å and the angles 90.00°, 90.00° and 90.00°. The inequivalent atoms are Ca at (0.000, 0.000, 0.000), Ta at (0.000, 0.000, 0.500) and As at (0.500, 0.500, 0.500).

=====

Arrangement 2

Computed, not measured: crystalline CaTa3As at its relaxed geometry at the GGA-PBE level of DFT.

The structure belongs to space group Pm-3m (No. 221); the cell edges are 4.865, 4.865 and 4.865 Å and the angles 90.00°, 90.00° and 90.00°. The inequivalent atoms are Ca at (0.000, 0.000, 0.000), Ta at (0.000, 0.500, 0.500) and As at (0.500, 0.500, 0.500).

=====

Result of the stability comparison: arrangement 1 is the least stable of them.

=====

Arrangement 1

Computed, not measured: crystalline CaTbAs2 at its relaxed geometry at the GGA-PBE level of DFT.

The structure belongs to space group R3m (No. 160, hexagonal axes); the cell edges are 4.3046, 4.3046 and 20.1222 Å and the angles 90.00°, 90.00° and 120.00°. The inequivalent atoms are Ca at (0.0000, 0.0000, 0.0000), Tb at (0.0000, 0.0000, 0.1738), As at (0.0000, 0.0000, 0.4254) and As at (0.0000, 0.0000, 0.5814).

=====

Arrangement 2

Computed, not measured: crystalline CaTbAs2 at its relaxed geometry at the GGA-PBE level of DFT.

The structure belongs to space group R-3m (No. 166, hexagonal axes); the cell edges are 4.1408, 4.1408 and 21.1078 Å and the angles 90.00°, 90.00° and 120.00°. The inequivalent atoms are Ca at (0.0000, 0.0000, 0.0000), Tb at (0.0000, 0.0000, 0.5000) and As at (0.0000, 0.0000, 0.2461).

=====

Result of the stability comparison: arrangement 1 is the least stable of them.

=====

Arrangement 1

Computed, not measured: crystalline CaTcAs at its relaxed geometry at the GGA-PBE level of DFT.

The structure belongs to space group F-43m (No. 216); the cell edges are 6.623, 6.623 and 6.623 Å and the angles 90.00°, 90.00° and 90.00°. The inequivalent atoms are Ca at (0.000, 0.000, 0.000), Tc at (0.250, 0.250, 0.750) and As at (0.250, 0.250, 0.250).

=====

Arrangement 2

Computed, not measured: crystalline CaTcAs at its relaxed geometry at the GGA-PBE level of DFT.

The structure belongs to space group P4/nmm (No. 129, origin choice 2); the cell edges are 4.260, 4.260 and 6.834 Å and the angles 90.00°, 90.00° and 90.00°. The inequivalent atoms are Ca at (0.250, 0.250, 0.174), Tc at (0.250, 0.750, 0.500) and As at (0.250, 0.250, 0.701).

=====

Arrangement 3

Computed, not measured: crystalline CaTcAs at its relaxed geometry at the GGA-PBE level of DFT.

The structure belongs to space group I4mm (No. 107); the cell edges are 3.306, 3.306 and 10.672 Å and the angles 90.00°, 90.00° and 90.00°. The inequivalent atoms are Ca at (0.000, 0.000, 0.000), Tc at (0.000, 0.000, 0.702) and As at (0.000, 0.000, 0.295).

=====

Arrangement 4

Computed, not measured: crystalline CaTcAs at its relaxed geometry at the GGA-PBE level of DFT.

The structure belongs to space group F-43m (No. 216); the cell edges are 6.298, 6.298 and 6.298 Å and the angles 90.00°, 90.00° and 90.00°. The inequivalent atoms are Ca at (0.000, 0.000, 0.000), Tc at (0.000, 0.000, 0.500) and As at (0.250, 0.250, 0.250).

=====

Result of the stability comparison: arrangement 1 is the least stable of them.

=====

Arrangement 1

Computed, not measured: crystalline CaTcAs3 at its relaxed geometry at the GGA-PBE level of DFT.

The structure belongs to space group Pm-3m (No. 221); the cell edges are 5.091, 5.091 and 5.091 Å and the angles 90.00°, 90.00° and 90.00°. The inequivalent atoms are Ca at (0.000, 0.000, 0.000), Tc at (0.500, 0.500, 0.500) and As at (0.000, 0.000, 0.500).

=====

Arrangement 2

Computed, not measured: crystalline CaTcAs3 at its relaxed geometry at the GGA-PBE level of DFT.

The structure belongs to space group Pm-3m (No. 221); the cell edges are 4.892, 4.892 and 4.892 Å and the angles 90.00°, 90.00° and 90.00°. The inequivalent atoms are Ca at (0.000, 0.000, 0.000), Tc at (0.500, 0.500, 0.500) and As at (0.000, 0.500, 0.500).

=====

Result of the stability comparison: arrangement 1 is the least stable of them.

=====

Arrangement 1

Computed, not measured: crystalline Ca3TcAs at its relaxed geometry at the GGA-PBE level of DFT.

The structure belongs to space group Pm-3m (No. 221); the cell edges are 5.544, 5.544 and 5.544 Å and the angles 90.00°, 90.00° and 90.00°. The inequivalent atoms are Ca at (0.000, 0.000, 0.500), Tc at (0.500, 0.500, 0.500) and As at (0.000, 0.000, 0.000).

=====

Arrangement 2

Computed, not measured: crystalline Ca3TcAs at its relaxed geometry at the GGA-PBE level of DFT.

The structure belongs to space group Pm-3m (No. 221); the cell edges are 5.316, 5.316 and 5.316 Å and the angles 90.00°, 90.00° and 90.00°. The inequivalent atoms are Ca at (0.000, 0.000, 0.500), Tc at (0.000, 0.000, 0.000) and As at (0.500, 0.500, 0.500).

=====

Result of the stability comparison: arrangement 2 is the least stable of them.

=====

Arrangement 1

Computed, not measured: crystalline CaTe2As2 at its relaxed geometry at the GGA-PBE level of DFT.

The structure belongs to space group I4/mmm (No. 139); the cell edges are 3.964, 3.964 and 17.307 Å and the angles 90.00°, 90.00° and 90.00°. The inequivalent atoms are Ca at (0.000, 0.000, 0.000), Te at (0.000, 0.000, 0.407) and As at (0.000, 0.500, 0.250).

=====

Arrangement 2

Computed, not measured: crystalline CaTe2As2 at its relaxed geometry at the GGA-PBE level of DFT.

The structure belongs to space group I4/mmm (No. 139); the cell edges are 4.171, 4.171 and 19.792 Å and the angles 90.00°, 90.00° and 90.00°. The inequivalent atoms are Ca at (0.000, 0.000, 0.000), Te at (0.000, 0.500, 0.250) and As at (0.000, 0.000, 0.441).

=====

Arrangement 3

Computed, not measured: crystalline CaTe2As2 at its relaxed geometry at the GGA-PBE level of DFT.

The structure belongs to space group P4/mbm (No. 127); the cell edges are 8.054, 8.054 and 4.194 Å and the angles 90.00°, 90.00° and 90.00°. The inequivalent atoms are Ca at (0.000, 0.000, 0.000), Te at (0.199, 0.301, 0.500) and As at (0.146, 0.646, 0.000).

=====

Result of the stability comparison: arrangement 2 is the least stable of them.

=====

Arrangement 1

Computed, not measured: crystalline Ca2TeAs at its relaxed geometry at the GGA-PBE level of DFT.

The structure belongs to space group P4/mmm (No. 123); the cell edges are 4.389, 4.389 and 6.236 Å and the angles 90.00°, 90.00° and 90.00°. The inequivalent atoms are Ca at (0.000, 0.000, 0.000), Ca at (0.500, 0.500, 0.500), Te at (0.000, 0.000, 0.500) and As at (0.500, 0.500, 0.000).

=====

Arrangement 2

Computed, not measured: crystalline Ca2TeAs at its relaxed geometry at the GGA-PBE level of DFT.

The structure belongs to space group C2/m (No. 12); the cell edges are 7.460, 4.227 and 7.925 Å and the angles 90.00°, 107.71° and 90.00°. The inequivalent atoms are Ca at (0.247, 0.000, 0.239), Te at (0.000, 0.000, 0.500) and As at (0.000, 0.500, 0.000).

=====

Arrangement 3

Computed, not measured: crystalline Ca2TeAs at its relaxed geometry at the GGA-PBE level of DFT.

The structure belongs to space group Fm-3m (No. 225); the cell edges are 7.567, 7.567 and 7.567 Å and the angles 90.00°, 90.00° and 90.00°. The inequivalent atoms are Ca at (0.250, 0.250, 0.250), Te at (0.000, 0.000, 0.000) and As at (0.000, 0.000, 0.500).

=====

Arrangement 4

Computed, not measured: crystalline Ca2TeAs at its relaxed geometry at the GGA-PBE level of DFT.

The structure belongs to space group Cm (No. 8); the cell edges are 11.948, 4.043 and 4.743 Å and the angles 90.00°, 95.78° and 90.00°. The inequivalent atoms are Ca at (0.000, 0.000, 0.000), Ca at (0.249, 0.000, 0.514), Te at (0.013, 0.500, 0.506) and As at (0.247, 0.500, 0.010).

=====

Result of the stability comparison: arrangement 3 is the least stable of them.